(1)
Material: SrNd2Rh
Method: DFT, GGA-PBE
State: relaxed

For the formation energy, the calculation gives -0.3429 eV/atom.

It has space group R3m (No. 160, hexagonal axes), with a = 4.1893 Å, b = 4.1893 Å, c = 29.1413 Å, α = 90.00°, β = 90.00° and γ = 120.00°. The distinct sites, in fractional coordinates, are Sr at (0.0000, 0.0000, 0.0000), Nd at (0.0000, 0.0000, 0.2196), Nd at (0.0000, 0.0000, 0.4505) and Rh at (0.0000, 0.0000, 0.8351).

(2)
Material: La6TbSm2Mg
Method: DFT, GGA-PBE
State: relaxed

For the formation energy, the calculation gives 0.0893 eV/atom.

It has space group C2/c (No. 15), with a = 10.682 Å, b = 13.867 Å, c = 9.484 Å, α = 90.00°, β = 98.51° and γ = 90.00°. The distinct sites, in fractional coordinates, are La at (0.058, 0.121, 0.100), La at (0.087, 0.333, 0.917), La at (0.246, 0.288, 0.327), Tb at (0.000, 0.430, 0.250), Sm at (0.231, 0.467, 0.593) and Mg at (0.000, 0.096, 0.750).

(3)
Material: LiPu2UO8
Method: DFT, GGA-PBE
State: relaxed

The uncorrected formation energy comes out at -2847 meV per atom.

It has space group Cmmm (No. 65), with a = 7.171 Å, b = 7.240 Å, c = 6.792 Å, α = 90.00°, β = 90.00° and γ = 90.00°. The distinct sites, in fractional coordinates, are Li at (0.000, 0.000, 0.000), Pu at (0.000, 0.500, 0.245), U at (0.000, 0.000, 0.500), O at (0.000, 0.313, 0.500), O at (0.000, 0.322, 0.000) and O at (0.188, 0.000, 0.276).

(4)
Material: Ce3Hf2PaAs6
Method: DFT, GGA-PBE
State: relaxed

For the formation energy, the calculation gives -1.2271 eV/atom.

It has space group C2/m (No. 12), with a = 7.004 Å, b = 12.147 Å, c = 7.072 Å, α = 90.00°, β = 109.36° and γ = 90.00°. The distinct sites, in fractional coordinates, are Ce at (0.000, 0.000, 0.000), Ce at (0.000, 0.337, 0.000), Hf at (0.000, 0.168, 0.500), Pa at (0.000, 0.500, 0.500), As at (0.233, 0.000, 0.727) and As at (0.249, 0.329, 0.732).

(5)
Material: Sc2AlIn2
Method: DFT, GGA-PBE
State: relaxed

For the formation energy, the calculation gives 0.0997 eV/atom.

It has space group I4/mmm (No. 139), with a = 3.999 Å, b = 3.999 Å, c = 15.567 Å, α = 90.00°, β = 90.00° and γ = 90.00°. The distinct sites, in fractional coordinates, are Sc at (0.000, 0.000, 0.094), Al at (0.000, 0.000, 0.500) and In at (0.000, 0.500, 0.250).

(6)
Material: Mn2HgN
Method: DFT, GGA-PBE
State: relaxed

The uncorrected formation energy comes out at 182 meV per atom.

It has space group I-42d (No. 122), with a = 5.043 Å, b = 5.043 Å, c = 10.642 Å, α = 90.00°, β = 90.00° and γ = 90.00°. The distinct sites, in fractional coordinates, are Mn at (0.065, 0.250, 0.125), Hg at (0.000, 0.000, 0.500) and N at (0.000, 0.000, 0.000).

no.,total magnetization (μB per formula unit),E_tot (eV/atom)
1,0.0,-4.9852
2,0.0,-4.4335
3,7.0,-9.6409
4,1.7,-7.4855
5,0.4,-4.2768
6,6.0,-6.5598